Here is a relaxed BePtS crystal from Alexandria. Energies are from PBE-GGA.

Spin magnetization, μB/cell: 0.00
Formation energy from raw total energies, meV per atom: -447
DOS(E_F), states/eV per atom: 0.49
Uncorrected energy, eV/atom: -5.08

abc: 3.5449 3.6423 8.8991
angles: 92.46 90.04 119.11
With the nearest neighbours (Å) after each atom.
Space group P1 (No. 1)
Symmetry-distinct sites (fractional):
Be  0.0000  0.0000  0.0000  6 Pt 2.22-2.38, 1 S 2.36
Be  0.2854  0.5685  0.2973  3 S 2.14-2.17
Pt  0.3151  0.6305  0.8722  3 Be 2.36-2.38, 3 S 2.39-2.46
Pt  0.6821  0.3639  0.0905  3 Be 2.22-2.24, 1 S 2.42
S  0.6199  0.2374  0.3569  3 Be 2.14-2.17
S  0.9688  0.9384  0.7352  1 Be 2.36, 3 Pt 2.39-2.46